1.
Density functional theory data (GGA-PBEsol) for a geometry-optimized Mg2BeTe structure.

a = 3.875 Å, b = 4.542 Å, c = 4.625 Å
α = 90.00°, β = 90.00°, γ = 90.00°
Sites, in units of the cell vectors:
Mg  0.000  0.000  0.000
Mg  0.000  0.500  0.500
Be  0.500  0.000  0.500
Te  0.500  0.500  0.000

Properties
Relative energy among the computed polymorphs, meV/atom: 16.4
Formation energy from raw total energies, eV/atom: 0.1867

2.
Density functional theory data (GGA-PBEsol) for a geometry-optimized LiBe4Co structure.

a = 4.188 Å, b = 4.188 Å, c = 4.188 Å
α = 60.00°, β = 60.00°, γ = 60.00°
Sites, in units of the cell vectors:
Li  0.000  0.000  0.000
Be  0.376  0.376  0.376
Be  0.376  0.376  0.871
Be  0.376  0.871  0.376
Be  0.871  0.376  0.376
Co  0.750  0.750  0.750

Properties
Formation enthalpy at 0 K, eV per atom: -0.0336

3.
Density functional theory data (GGA-PBEsol) for a geometry-optimized CrHgSb2I structure.

a = 5.416 Å, b = 5.416 Å, c = 5.888 Å
α = 90.00°, β = 90.00°, γ = 90.00°
Sites, in units of the cell vectors:
Cr  0.000  0.000  0.000
Hg  0.500  0.500  0.500
Sb  0.000  0.500  0.500
Sb  0.500  0.000  0.500
I  0.500  0.500  0.000

Properties
Formation energy from raw total energies, eV/atom: 1.1186

4.
Density functional theory data (GGA-PBEsol) for a geometry-optimized Y4PBr structure.

a = 6.093 Å, b = 6.093 Å, c = 6.093 Å
α = 60.00°, β = 60.00°, γ = 60.00°
Sites, in units of the cell vectors:
Y  0.376  0.376  0.376
Y  0.376  0.376  0.872
Y  0.376  0.872  0.376
Y  0.872  0.376  0.376
P  0.750  0.750  0.750
Br  0.000  0.000  0.000

Properties
Formation energy from raw total energies, eV/atom: 0.2510

Q: Number 4 is which compound?
A: Y4PBr

Copy entry 2 word for word.
Density functional theory data (GGA-PBEsol) for a geometry-optimized LiBe4Co structure.

a = 4.188 Å, b = 4.188 Å, c = 4.188 Å
α = 60.00°, β = 60.00°, γ = 60.00°
Sites, in units of the cell vectors:
Li  0.000  0.000  0.000
Be  0.376  0.376  0.376
Be  0.376  0.376  0.871
Be  0.376  0.871  0.376
Be  0.871  0.376  0.376
Co  0.750  0.750  0.750

Properties
Formation enthalpy at 0 K, eV per atom: -0.0336

Q: Which formula does entry 2 have?
A: LiBe4Co